1.
The following is a DFT calculation (PBE) of a relaxed Ga2TcAg crystal.

The calculation puts the formation energy at 0.3841 eV per atom. The value obtained for the total energy is -4.434 eV per atom. Its energy above the lowest structure with this stoichiometry is 407 meV/atom.

The structure belongs to space group I-42d (No. 122); the cell edges are 4.0481, 4.0481 and 17.5523 Å and the angles 90.00°, 90.00° and 90.00°. The inequivalent atoms are Ga at (0.2168, 0.2500, 0.1250), Tc at (0.0000, 0.0000, 0.0000) and Ag at (0.0000, 0.0000, 0.5000).

2.
The following is a DFT calculation (PBE) of a relaxed Ga2Tc2Ag crystal.

The calculation puts the formation energy at 0.1656 eV per atom. The value obtained for the total energy is -5.762 eV per atom. Its energy above the lowest structure with this stoichiometry is 48 meV/atom.

The structure belongs to space group P4/mbm (No. 127); the cell edges are 6.7858, 6.7858 and 3.3561 Å and the angles 90.00°, 90.00° and 90.00°. The inequivalent atoms are Ga at (0.1347, 0.3653, 0.0000), Tc at (0.1629, 0.6629, 0.5000) and Ag at (0.0000, 0.0000, 0.0000).